Below is crystalline ZnS at its relaxed geometry, with properties calculated at the PBE level.

Structure (extended XYZ):
```
20
Lattice="1.9180 1.1074 31.3682 -1.9180 1.1074 31.3682 0.0000 -2.2147 31.3682" Properties=species:S:1:pos:R:3 pbc="T T T"
Zn 0.0000 0.0000 0.0000
Zn 0.0000 0.0000 6.2726
Zn 0.0000 0.0000 15.6836
Zn 0.0000 0.0000 25.0940
Zn 0.0000 0.0000 34.5057
Zn 0.0000 0.0000 43.9175
Zn 0.0000 0.0000 53.3275
Zn 0.0000 0.0000 59.5979
Zn 0.0000 0.0000 72.1500
Zn 0.0000 0.0000 81.5592
S 0.0000 0.0000 2.3509
S 0.0000 0.0000 8.6241
S 0.0000 0.0000 18.0351
S 0.0000 0.0000 27.4456
S 0.0000 0.0000 36.8581
S 0.0000 0.0000 46.2679
S 0.0000 0.0000 55.6772
S 0.0000 0.0000 61.9435
S 0.0000 0.0000 74.5020
S 0.0000 0.0000 83.9127
```

calculated density = 4.0 g cm⁻³
uncorrected energy = -3.53 eV per atom